Run P
First-principles (PBE) data for Pm4PrTh after structural relaxation, as listed in Alexandria.

The structure belongs to space group F-43m (No. 216); the cell edges are 9.3952, 9.3952 and 9.3952 Å and the angles 90.00°, 90.00° and 90.00°. The asymmetric unit holds Pm at (0.1243, 0.1243, 0.3757), Pr at (0.0000, 0.0000, 0.0000) and Th at (0.2500, 0.2500, 0.7500).

The total magnetic moment comes out at 5.877 μB/cell. For the density of states at the Fermi level, the calculation gives 52.928 states/eV per cell.



Run Q
First-principles (PBE) data for Pm4PrTh after structural relaxation, as listed in Alexandria.

The structure belongs to space group Cmcm (No. 63); the cell edges are 6.5694, 11.4815 and 10.9790 Å and the angles 90.00°, 90.00° and 90.00°. The asymmetric unit holds Pm at (0.0000, 0.1653, 0.0632), Pm at (0.2438, 0.0841, 0.7500), Pr at (0.0000, 0.3273, 0.7500) and Th at (0.0000, 0.5000, 0.0000).

The total magnetic moment comes out at 0.001 μB/cell. For the density of states at the Fermi level, the calculation gives 50.491 states/eV per cell.



Relative energies, in meV per atom, with the most stable structure set to zero: run P 71; run Q 0.